Entry from the Alexandria database: a relaxed CePaIrRh crystal (PBE-GGA).

The structure belongs to space group F-43m (No. 216); the cell edges are 6.9326, 6.9326 and 6.9326 Å and the angles 90.00°, 90.00° and 90.00°. The asymmetric unit holds Ce at (0.0000, 0.0000, 0.0000), Pa at (0.0000, 0.0000, 0.5000), Ir at (0.2500, 0.2500, 0.7500) and Rh at (0.2500, 0.2500, 0.2500).

The calculation puts the energy relative to the elements at -623 meV/atom. Its crystal system is cubic.


Entry from the Alexandria database: a relaxed CePaIrS crystal (PBE-GGA).

The structure belongs to space group R3m (No. 160, hexagonal axes); the cell edges are 3.8560, 3.8560 and 21.9392 Å and the angles 90.00°, 90.00° and 120.00°. The asymmetric unit holds Ce at (0.0000, 0.0000, 0.0000), Pa at (0.0000, 0.0000, 0.8229), Ir at (0.0000, 0.0000, 0.4148) and S at (0.0000, 0.0000, 0.5781).

Its crystal system is trigonal. The value obtained for the formation energy (no corrections) is -1109 meV per atom.


| no. | DOS at the Fermi energy (states/eV per atom) |
| --- | --- |
| 1 | 2.182 |
| 2 | 1.943 |